# Tb3Sm6Tm2Mg (GGA-PBE, optimized geometry)
data_Tb3Sm6Tm2Mg
_cell_length_a 6.189
_cell_length_b 10.726
_cell_length_c 11.700
_cell_angle_alpha 90.00
_cell_angle_beta 100.22
_cell_angle_gamma 90.00
_symmetry_space_group_name_H-M 'C 1 2/m 1'
_symmetry_Int_Tables_number 12
loop_
_symmetry_equiv_pos_as_xyz
'x,y,z'
'-x,-y,-z'
'-x,y,-z'
'x,-y,z'
'x+1/2,y+1/2,z'
'-x+1/2,-y+1/2,-z'
'-x+1/2,y+1/2,-z'
'x+1/2,-y+1/2,z'
loop_
_atom_site_label
_atom_site_type_symbol
_atom_site_fract_x
_atom_site_fract_y
_atom_site_fract_z
_atom_site_occupancy
Tb1 Tb 0.000 0.000 0.000 1
Tb2 Tb 0.000 0.334 0.000 1
Sm1 Sm 0.248 0.000 0.748 1
Sm2 Sm 0.248 0.334 0.746 1
Tm1 Tm 0.000 0.166 0.500 1
Mg1 Mg 0.000 0.500 0.500 1
# Crystal system: monoclinic

***

# Tb2SmTm4Mg (GGA-PBE, optimized geometry)
data_Tb2SmTm4Mg
_cell_length_a 4.920
_cell_length_b 4.920
_cell_length_c 9.993
_cell_angle_alpha 90.00
_cell_angle_beta 90.00
_cell_angle_gamma 90.00
_symmetry_space_group_name_H-M 'P 4/m m m'
_symmetry_Int_Tables_number 123
_symmetry_space_group_name_Hall '-P 4 2'
loop_
_atom_site_label
_atom_site_type_symbol
_atom_site_fract_x
_atom_site_fract_y
_atom_site_fract_z
_atom_site_occupancy
Tb1 Tb 0.000 0.000 0.000 1
Tb2 Tb 0.500 0.500 0.500 1
Sm1 Sm 0.000 0.000 0.500 1
Tm1 Tm 0.000 0.500 0.247 1
Mg1 Mg 0.500 0.500 0.000 1
# Crystal system: tetragonal

***

# Tb6Sm2TmMg (GGA-PBE, optimized geometry)
data_Tb6Sm2TmMg
_cell_length_a 9.901
_cell_length_b 19.644
_cell_length_c 6.602
_cell_angle_alpha 90.00
_cell_angle_beta 99.00
_cell_angle_gamma 90.00
_symmetry_space_group_name_H-M 'C 1 2/c 1'
_symmetry_Int_Tables_number 15
loop_
_symmetry_equiv_pos_as_xyz
'x,y,z'
'-x,-y,-z'
'-x,y,-z+1/2'
'x,-y,z+1/2'
'x+1/2,y+1/2,z'
'-x+1/2,-y+1/2,-z'
'-x+1/2,y+1/2,-z+1/2'
'x+1/2,-y+1/2,z+1/2'
loop_
_atom_site_label
_atom_site_type_symbol
_atom_site_fract_x
_atom_site_fract_y
_atom_site_fract_z
_atom_site_occupancy
Tb1 Tb 0.059 0.147 0.028 1
Tb2 Tb 0.117 0.416 0.982 1
Tb3 Tb 0.177 0.261 0.722 1
Sm1 Sm 0.236 0.417 0.496 1
Tm1 Tm 0.000 0.007 0.750 1
Mg1 Mg 0.000 0.294 0.250 1
# Crystal system: monoclinic

***

# Tb4Sm2TmMg (GGA-PBE, optimized geometry)
data_Tb4Sm2TmMg
_cell_length_a 4.982
_cell_length_b 4.982
_cell_length_c 10.044
_cell_angle_alpha 90.00
_cell_angle_beta 90.00
_cell_angle_gamma 90.00
_symmetry_space_group_name_H-M 'P 4/m m m'
_symmetry_Int_Tables_number 123
_symmetry_space_group_name_Hall '-P 4 2'
loop_
_atom_site_label
_atom_site_type_symbol
_atom_site_fract_x
_atom_site_fract_y
_atom_site_fract_z
_atom_site_occupancy
Tb1 Tb 0.000 0.500 0.249 1
Sm1 Sm 0.000 0.000 0.000 1
Sm2 Sm 0.500 0.500 0.500 1
Tm1 Tm 0.000 0.000 0.500 1
Mg1 Mg 0.500 0.500 0.000 1
# Crystal system: tetragonal

***

# Tb2Sm6Tm3Mg (GGA-PBE, optimized geometry)
data_Tb2Sm6Tm3Mg
_cell_length_a 6.164
_cell_length_b 10.682
_cell_length_c 11.696
_cell_angle_alpha 90.00
_cell_angle_beta 100.14
_cell_angle_gamma 90.00
_symmetry_space_group_name_H-M 'C 1 2/m 1'
_symmetry_Int_Tables_number 12
loop_
_symmetry_equiv_pos_as_xyz
'x,y,z'
'-x,-y,-z'
'-x,y,-z'
'x,-y,z'
'x+1/2,y+1/2,z'
'-x+1/2,-y+1/2,-z'
'-x+1/2,y+1/2,-z'
'x+1/2,-y+1/2,z'
loop_
_atom_site_label
_atom_site_type_symbol
_atom_site_fract_x
_atom_site_fract_y
_atom_site_fract_z
_atom_site_occupancy
Tb1 Tb 0.000 0.167 0.000 1
Sm1 Sm 0.249 0.334 0.251 1
Sm2 Sm 0.249 0.500 0.748 1
Tm1 Tm 0.000 0.000 0.500 1
Tm2 Tm 0.000 0.334 0.500 1
Mg1 Mg 0.000 0.500 0.000 1
# Crystal system: monoclinic

***

# Tb4SmTm2Mg (GGA-PBE, optimized geometry)
data_Tb4SmTm2Mg
_cell_length_a 5.725
_cell_length_b 5.725
_cell_length_c 7.501
_cell_angle_alpha 90.00
_cell_angle_beta 90.00
_cell_angle_gamma 90.00
_symmetry_space_group_name_H-M 'P 4/m m m'
_symmetry_Int_Tables_number 123
_symmetry_space_group_name_Hall '-P 4 2'
loop_
_atom_site_label
_atom_site_type_symbol
_atom_site_fract_x
_atom_site_fract_y
_atom_site_fract_z
_atom_site_occupancy
Tb1 Tb 0.000 0.500 0.247 1
Sm1 Sm 0.000 0.000 0.000 1
Tm1 Tm 0.000 0.000 0.500 1
Tm2 Tm 0.500 0.500 0.500 1
Mg1 Mg 0.500 0.500 0.000 1
# Crystal system: tetragonal

***

E_form (computed, eV/atom): 0.027, 0.028, 0.103, 0.023, 0.021, 0.083